{"formula": "MgNi2", "functional": "PBE-GGA", "state": "relaxed", "total_magnetization_mub_per_cell": 0.001, "n_ef_per_ev_cell": 5.7, "sg": "P6_3/mmc", "e_tot_ev_per_atom": -4.40, "cell": [[4.208, 0.000, 0.000], [-2.104, 3.645, 0.000], [0.000, 0.000, 5.002]], "species": ["Mg", "Mg", "Ni", "Ni", "Ni", "Ni"], "fractional_positions": [[0.333, 0.667, 0.250], [0.667, 0.333, 0.750], [0.000, 0.000, 0.000], [0.000, 0.000, 0.500], [0.333, 0.667, 0.750], [0.667, 0.333, 0.250]]}